1.
Here is Nd2Nb2Ge2C after structural relaxation from the Alexandria database. Energies are from GGA-PBE.

Density of states at the Fermi level in states/eV/f.u.: 4.4
Space group: I4/mmm
Total magnetization in μB per formula unit: 0.0
Calculated total energy in eV per atom: -7.503
Calculated formation energy in eV per atom: -0.6267

a b c (Å): 8.424 8.424 8.424
angles (deg): 150.36 150.36 42.41
Fractional coordinates of all 7 atoms:
Nd 0.167 0.167 0.000
Nd 0.833 0.833 0.000
Nb 0.000 0.500 0.500
Nb 0.500 0.000 0.500
Ge 0.377 0.377 0.000
Ge 0.623 0.623 0.000
C 0.000 0.000 0.000

=====

2.
Here is Ba3NiTe after structural relaxation from the Alexandria database. Energies are from GGA-PBE.

Formation energy without anion corrections in eV/atom: -0.44
Density of states at the Fermi level in states/eV/f.u.: 6.2
Space group: Pm-3m
Total magnetization in μB per formula unit: 0.0
Energy above the lowest structure with this stoichiometry in meV/atom: 0
Calculated total energy in eV per atom: -3.382

a b c (Å): 5.885 5.885 5.885
angles (deg): 90.00 90.00 90.00
Fractional coordinates of all 5 atoms:
Ba 0.000 0.000 0.500
Ba 0.000 0.500 0.000
Ba 0.500 0.000 0.000
Ni 0.000 0.000 0.000
Te 0.500 0.500 0.500

=====

3.
Here is BaNaSiAs2 after structural relaxation from the Alexandria database. Energies are from GGA-PBE.

Formation energy without anion corrections in eV/atom: -0.36
Density of states at the Fermi level in states/eV/f.u.: 2.4
Space group: Cmme
Total magnetization in μB per formula unit: 0.0
Calculated total energy in eV per atom: -3.951

a b c (Å): 7.270 7.270 6.309
angles (deg): 90.00 90.00 126.58
Fractional coordinates of all 10 atoms:
Ba 0.250 0.750 0.758
Ba 0.750 0.250 0.242
Na 0.250 0.250 0.500
Na 0.750 0.750 0.500
Si 0.000 0.000 0.000
Si 0.500 0.500 0.000
As 0.143 0.857 0.237
As 0.357 0.643 0.237
As 0.643 0.357 0.763
As 0.857 0.143 0.763

=====

4.
Here is K2LiMgF6 after structural relaxation from the Alexandria database. Energies are from GGA-PBE.

Formation energy without anion corrections in eV/atom: -2.78
Density of states at the Fermi level in states/eV/f.u.: 10.1
Space group: Fm-3m
Total magnetization in μB per formula unit: 1.1
Calculated total energy in eV per atom: -4.471

a b c (Å): 5.756 5.756 5.756
angles (deg): 60.00 60.00 60.00
Fractional coordinates of all 10 atoms:
K 0.250 0.250 0.250
K 0.750 0.750 0.750
Li 0.000 0.000 0.000
Mg 0.500 0.500 0.500
F 0.254 0.254 0.746
F 0.254 0.746 0.254
F 0.254 0.746 0.746
F 0.746 0.254 0.254
F 0.746 0.254 0.746
F 0.746 0.746 0.254

=====

5.
Here is TbNpC after structural relaxation from the Alexandria database. Energies are from GGA-PBE.

Density of states at the Fermi level in states/eV/f.u.: 5.6
Space group: I4mm
Total magnetization in μB per formula unit: 3.6
Energy above the lowest structure with this stoichiometry in meV/atom: 329
Calculated total energy in eV per atom: -8.507
Calculated formation energy in eV per atom: 0.4242

a b c (Å): 6.218 6.218 6.218
angles (deg): 150.81 150.81 41.75
Fractional coordinates of all 3 atoms:
Tb 0.000 0.000 0.000
Np 0.762 0.762 0.000
C 0.364 0.364 0.000

=====

6.
Here is MnZn2Fe after structural relaxation from the Alexandria database. Energies are from GGA-PBE.

Density of states at the Fermi level in states/eV/f.u.: 2.3
Space group: I-4m2
Total magnetization in μB per formula unit: 5.2
Energy above the lowest structure with this stoichiometry in meV/atom: 78
Calculated total energy in eV per atom: -4.952
Calculated formation energy in eV per atom: 0.0929

a b c (Å): 4.668 4.668 4.668
angles (deg): 133.55 133.55 67.80
Fractional coordinates of all 4 atoms:
Mn 0.000 0.000 0.000
Zn 0.250 0.750 0.500
Zn 0.500 0.500 0.000
Fe 0.750 0.250 0.500